VASP calculation (PBE) on Tm2Zn2GaRh5 after structural relaxation.

Cell lengths 3.5463, 9.6150, 9.6150 Å; angles 90.00, 90.00, 90.00 degrees
Positions (direct):
Rh1 0.5000 0.0677 0.8024
Rh2 0.5000 0.5000 0.0000
Rh3 0.5000 0.3024 0.5677
Tm1 0.0000 0.8280 0.6720
Rh4 0.5000 0.9323 0.1976
Zn1 0.0000 0.6272 0.8728
Rh5 0.5000 0.0000 0.5000
Rh6 0.5000 0.6976 0.4323
Zn2 0.0000 0.1272 0.6272
Ga1 0.0000 0.0000 0.0000
Tm2 0.0000 0.3280 0.8280
Tm3 0.0000 0.6720 0.1720
Rh7 0.5000 0.5677 0.6976
Zn3 0.0000 0.8728 0.3728
Zn4 0.0000 0.3728 0.1272
Rh8 0.5000 0.8024 0.9323
Rh9 0.5000 0.4323 0.3024
Tm4 0.0000 0.1720 0.3280
Rh10 0.5000 0.1976 0.0677
Ga2 0.0000 0.5000 0.5000

Calculated values
Symmetry   P4/mbm, No. 127
D(E_F)   6.42 states/eV/f.u.
Energy of formation from the pure elements   -0.65 eV per atom



VASP calculation (PBE) on AgTeO after structural relaxation.

Cell lengths 6.3445, 4.6617, 5.8693 Å; angles 57.31, 78.81, 69.93 degrees
Positions (direct):
Te1 0.8896 0.6361 0.9621
O1 0.3715 0.8287 0.5390
Ag1 0.6259 0.2951 0.6337
O2 0.8189 0.6799 0.2835
Ag2 0.5645 0.2135 0.1889
Te2 0.3008 0.8725 0.8605

Calculated values
Uncorrected formation energy   -202 meV/atom
Energy above the most stable polymorph in this dataset   0.25 eV per formula unit
Symmetry   P-1, No. 2
D(E_F)   0.74 states/eV/f.u.



VASP calculation (PBE) on Ga2Ag2Sn after structural relaxation.

Cell lengths 8.0754, 8.0754, 3.0882 Å; angles 90.00, 90.00, 90.00 degrees
Positions (direct):
Sn1 0.5000 0.5000 0.0000
Sn2 0.0000 0.0000 0.0000
Ag1 0.1281 0.3719 0.0000
Ga1 0.8289 0.3289 0.5000
Ga2 0.3289 0.1711 0.5000
Ag2 0.6281 0.1281 0.0000
Ag3 0.8719 0.6281 0.0000
Ga3 0.1711 0.6711 0.5000
Ag4 0.3719 0.8719 0.0000
Ga4 0.6711 0.8289 0.5000

Calculated values
Energy above the most stable polymorph in this dataset   0.02 eV per formula unit
Symmetry   P4/mbm, No. 127
D(E_F)   1.90 states/eV/f.u.
Energy of formation from the pure elements   0.05 eV per atom



VASP calculation (PBE) on BaCdSbPt3 after structural relaxation.

Cell lengths 6.2550, 7.4885, 7.6440 Å; angles 119.33, 90.00, 90.00 degrees
Positions (direct):
Ba1 0.2500 0.7255 0.4510
Pt1 0.5000 0.2977 0.0000
Pt2 0.2500 0.2022 0.4043
Pt3 0.7500 0.7978 0.5957
Pt4 0.5000 0.7023 0.0000
Sb1 0.2500 0.3918 0.7836
Cd1 0.2500 0.9970 0.9940
Cd2 0.7500 0.0030 0.0060
Pt5 0.0000 0.7023 0.0000
Pt6 0.0000 0.2977 0.0000
Sb2 0.7500 0.6082 0.2164
Ba2 0.7500 0.2745 0.5490

Calculated values
Uncorrected formation energy   -392 meV/atom
Symmetry   Cmcm, No. 63
D(E_F)   2.24 states/eV/f.u.